(1)
Entry from the Alexandria database: a geometry-optimized K2Cd4Pd structure (GGA-PBE).

a b c (Å): 5.315 5.315 9.656
angles (deg): 74.03 74.03 90.00
Positions (direct):
K 0.648 0.648 0.703
K 0.352 0.352 0.297
Pd 0.000 0.000 0.000
Cd 0.850 0.850 0.300
Cd 0.150 0.150 0.700
Cd 0.000 0.500 0.000
Cd 0.500 0.000 0.000

Crystal system: tetragonal
Spin magnetization (Bohr magnetons per cell): 0.00
Calculated formation energy (eV per atom): -0.10
Energy relative to the lowest polymorph listed for this composition (meV/atom): 34.5



(2)
Entry from the Alexandria database: a geometry-optimized Hf2TiBPb structure (GGA-PBE).

a b c (Å): 4.615 4.615 4.393
angles (deg): 90.00 90.00 90.00
Positions (direct):
Pb 0.500 0.500 0.500
B 0.000 0.000 0.000
Hf 0.000 0.500 0.000
Hf 0.500 0.000 0.000
Ti 0.000 0.000 0.500

Crystal system: tetragonal
Spin magnetization (Bohr magnetons per cell): 0.00
Calculated formation energy (eV per atom): -0.28



(3)
Entry from the Alexandria database: a geometry-optimized AcNiIr structure (GGA-PBE).

a b c (Å): 4.235 4.235 8.536
angles (deg): 90.00 90.00 120.00
Positions (direct):
Ac 0.000 0.500 0.500
Ac 0.000 0.500 0.000
Ni 0.333 0.167 0.750
Ni 0.667 0.833 0.250
Ir 0.667 0.833 0.750
Ir 0.333 0.167 0.250

Crystal system: hexagonal
Spin magnetization (Bohr magnetons per cell): 0.00
Calculated formation energy (eV per atom): -0.48
Energy relative to the lowest polymorph listed for this composition (meV/atom): 0.0



(4)
Entry from the Alexandria database: a geometry-optimized Nd5Ho6 structure (GGA-PBE).

a b c (Å): 9.095 8.020 6.444
angles (deg): 80.11 72.37 55.46
Positions (direct):
Nd 0.500 0.000 0.500
Nd 0.369 0.262 0.000
Nd 0.631 0.738 0.000
Nd 0.239 0.523 0.500
Nd 0.761 0.477 0.500
Ho 0.838 0.000 0.693
Ho 0.162 0.000 0.307
Ho 0.304 0.744 0.826
Ho 0.952 0.744 0.174
Ho 0.696 0.256 0.174
Ho 0.048 0.256 0.826

Crystal system: monoclinic
Spin magnetization (Bohr magnetons per cell): 0.00
Calculated formation energy (eV per atom): 0.14
Energy relative to the lowest polymorph listed for this composition (meV/atom): 21.7